Record 1
Density functional theory data (GGA-PBE) for a geometry-optimized LaNbPS2 structure.

abc: 5.3582 5.3582 5.3879
angles: 90.00 90.00 90.00
Each line ends with the local moment (μB).
Positions (direct):
P (0.0000, 0.0000, 0.5000)  -0.45
Nb (0.5000, 0.5000, 0.5000)  2.61
S (0.0000, 0.5000, 0.0000)  -0.25
S (0.5000, 0.0000, 0.0000)  -0.25
La (0.0000, 0.0000, 0.0000)  -0.08

Summary:
* raw total energy: -5.131 eV/atom
* uncorrected formation energy: 0.60 eV per atom
* crystal system: tetragonal
* total magnetic moment: 1.42 μB per formula unit
* volume: 154.7 Å³/cell

***

Record 2
Density functional theory data (GGA-PBE) for a geometry-optimized YHo3Sn3 structure.

abc: 5.4083 9.0803 9.0803
angles: 120.00 90.00 90.00
Positions (direct):
Y (0.2500, 0.6667, 0.3333)
Y (0.7500, 0.3333, 0.6667)
Ho (0.2500, 0.7667, 0.7613)
Ho (0.2500, 0.2387, 0.0054)
Ho (0.2500, 0.9946, 0.2333)
Ho (0.7500, 0.2333, 0.2387)
Ho (0.7500, 0.7613, 0.9946)
Ho (0.7500, 0.0054, 0.7667)
Sn (0.7500, 0.6223, 0.5467)
Sn (0.7500, 0.4533, 0.0757)
Sn (0.7500, 0.9243, 0.3777)
Sn (0.2500, 0.3777, 0.4533)
Sn (0.2500, 0.5467, 0.9243)
Sn (0.2500, 0.0757, 0.6223)

Summary:
* raw total energy: -5.123 eV/atom
* crystal system: hexagonal
* total magnetic moment: 0.00 μB per formula unit
* volume: 386.2 Å³/cell

***

Record 3
Density functional theory data (GGA-PBE) for a geometry-optimized CaInSi2 structure.

abc: 6.8803 6.8803 6.8803
angles: 34.94 34.94 34.94
Positions (direct):
Ca (0.5173, 0.5173, 0.5173)
In (0.7273, 0.7273, 0.7273)
Si (0.9447, 0.9447, 0.9447)
Si (0.3107, 0.3107, 0.3107)

Summary:
* raw total energy: -3.926 eV/atom
* uncorrected formation energy: -0.03 eV per atom
* crystal system: trigonal
* total magnetic moment: 0.00 μB per formula unit
* volume: 95.4 Å³/cell

***

Record 4
Density functional theory data (GGA-PBE) for a geometry-optimized Y2Tm4MgSc structure.

abc: 4.8766 4.8768 10.9607
angles: 63.55 90.00 90.00
Positions (direct):
Y (0.0000, 0.0000, 0.0000)
Y (0.5000, 0.0000, 0.5000)
Tm (0.0000, 0.7544, 0.7457)
Tm (0.0000, 0.2456, 0.2543)
Tm (0.5000, 0.7455, 0.2540)
Tm (0.5000, 0.2545, 0.7460)
Mg (0.5000, 0.5000, 0.0000)
Sc (0.0000, 0.5000, 0.5000)

Summary:
* raw total energy: -4.804 eV/atom
* crystal system: tetragonal
* total magnetic moment: 0.00 μB per formula unit
* volume: 233.4 Å³/cell

***

Record 5
Density functional theory data (GGA-PBE) for a geometry-optimized CaTaAsSe2 structure.

abc: 5.0723 5.0723 5.0372
angles: 90.00 90.00 90.00
Positions (direct):
As (0.0000, 0.0000, 0.5000)
Ca (0.5000, 0.5000, 0.5000)
Se (0.0000, 0.5000, 0.0000)
Se (0.5000, 0.0000, 0.0000)
Ta (0.0000, 0.0000, 0.0000)

Summary:
* raw total energy: -5.719 eV/atom
* uncorrected formation energy: -0.62 eV per atom
* crystal system: tetragonal
* total magnetic moment: 0.00 μB per formula unit
* volume: 129.6 Å³/cell

***

Record 6
Density functional theory data (GGA-PBE) for a geometry-optimized Be9Nb3Cu2 structure.

abc: 3.6225 6.9127 6.9127
angles: 66.35 74.81 74.81
Positions (direct):
Be (0.0000, 0.5000, 0.5000)
Be (0.6583, 0.9791, 0.7044)
Be (0.3417, 0.0209, 0.2956)
Be (0.6583, 0.7044, 0.9791)
Be (0.3417, 0.2956, 0.0209)
Be (0.8595, 0.8607, 0.4202)
Be (0.1405, 0.1393, 0.5798)
Be (0.8595, 0.4202, 0.8607)
Be (0.1405, 0.5798, 0.1393)
Nb (0.0000, 0.0000, 0.0000)
Nb (0.7115, 0.2885, 0.2885)
Nb (0.2885, 0.7115, 0.7115)
Cu (0.5000, 0.3165, 0.6835)
Cu (0.5000, 0.6835, 0.3165)

Summary:
* raw total energy: -5.305 eV/atom
* crystal system: orthorhombic
* total magnetic moment: 0.00 μB per formula unit
* volume: 150.6 Å³/cell